1.
La4Ce3HfN8 | PBE-GGA | relaxed

Values from the calculation:
formation energy (no corrections) = -1456 meV/atom
symmetry = R-3m (166)

a b c (Å): 7.2310 7.2310 7.2310
angles (deg): 59.22 59.22 59.22
Last column: nearest neighbours and their distance in Å.
Positions (direct):
La 0.0000 0.0000 0.0000  6 N 2.76
La 0.0000 0.5000 0.5000  6 N 2.62-2.64
La 0.5000 0.0000 0.5000  6 N 2.62-2.64
La 0.5000 0.5000 0.0000  6 N 2.62-2.64
Ce 0.0000 0.0000 0.5000  6 N 2.45-2.48
Ce 0.0000 0.5000 0.0000  6 N 2.45-2.48
Ce 0.5000 0.0000 0.0000  6 N 2.45-2.48
Hf 0.5000 0.5000 0.5000  6 N 2.33
N 0.2411 0.2411 0.2411  3 Ce 2.45, 3 La 2.64
N 0.2577 0.7289 0.7289  1 Hf 2.33, 2 Ce 2.48
N 0.2711 0.2711 0.7423  1 Hf 2.33, 2 Ce 2.48
N 0.2711 0.7423 0.2711  1 Hf 2.33, 2 Ce 2.48
N 0.7289 0.2577 0.7289  1 Hf 2.33, 2 Ce 2.48
N 0.7289 0.7289 0.2577  1 Hf 2.33, 2 Ce 2.48
N 0.7423 0.2711 0.2711  1 Hf 2.33, 2 Ce 2.48
N 0.7589 0.7589 0.7589  3 Ce 2.45, 3 La 2.64

---

2.
LaCe2HfN4 | PBE-GGA | relaxed

Values from the calculation:
formation energy (no corrections) = -1496 meV/atom
symmetry = P2/m (10)

a b c (Å): 6.0529 3.4703 6.1773
angles (deg): 90.00 109.10 90.00
Last column: nearest neighbours and their distance in Å.
Positions (direct):
La 0.0000 0.0000 0.0000  6 N 2.56-2.57
Ce 0.5000 0.0000 0.5000  6 N 2.42-2.44
Ce 0.5000 0.5000 0.0000  6 N 2.62-2.71
Hf 0.0000 0.5000 0.5000  6 N 2.28-2.35
N 0.2288 0.0000 0.7175  2 Hf 2.35, 3 Ce 2.44-2.62, 1 La 2.56
N 0.2430 0.5000 0.2856  1 Hf 2.28, 2 Ce 2.42
N 0.7570 0.5000 0.7144  1 Hf 2.28, 2 Ce 2.42
N 0.7712 0.0000 0.2825  2 Hf 2.35, 3 Ce 2.44-2.62, 1 La 2.56

---

3.
LaCeHfN3 | PBE-GGA | relaxed

Values from the calculation:
formation energy (no corrections) = -1351 meV/atom
symmetry = P2_1/m (11)

a b c (Å): 6.6160 3.3207 9.6972
angles (deg): 90.00 92.73 90.00
Last column: nearest neighbours and their distance in Å.
Positions (direct):
La 0.1452 0.2500 0.2024  6 N 2.57-2.64
La 0.8548 0.7500 0.7976  6 N 2.57-2.64
Ce 0.2170 0.2500 0.5724  3 N 2.30-2.36
Ce 0.7830 0.7500 0.4276  3 N 2.30-2.36
Hf 0.3606 0.7500 0.8935  3 N 2.05-2.17
Hf 0.6394 0.2500 0.1065  3 N 2.05-2.17
N 0.1385 0.7500 0.4141  3 Ce 2.30-2.36
N 0.1598 0.2500 0.8418  2 Hf 2.17
N 0.3975 0.7500 0.1049  1 Hf 2.05
N 0.6025 0.2500 0.8951  1 Hf 2.05
N 0.8402 0.7500 0.1582  2 Hf 2.17
N 0.8615 0.2500 0.5859  3 Ce 2.30-2.36

---

4.
LiCe2Hf | PBE-GGA | relaxed

Values from the calculation:
symmetry = P4/mmm (123)
ΔH_f (0 K) = 59 kJ/mol of formula units

a b c (Å): 3.1273 3.1273 10.2026
angles (deg): 90.00 90.00 90.00
Last column: nearest neighbours and their distance in Å.
Positions (direct):
Li 0.0000 0.0000 0.0000  4 Li 3.13, 8 Ce 3.44
Ce 0.5000 0.5000 0.2588  4 Ce 3.13, 4 Hf 3.31, 4 Li 3.44
Ce 0.5000 0.5000 0.7412  4 Ce 3.13, 4 Hf 3.31, 4 Li 3.44
Hf 0.0000 0.0000 0.5000  4 Hf 3.13, 8 Ce 3.31

---

5.
LiCe2Hf | PBE-GGA | relaxed

Values from the calculation:
symmetry = R-3m (166)
ΔH_f (0 K) = 102 kJ/mol of formula units

a b c (Å): 11.9298 11.9298 11.9298
angles (deg): 14.68 14.68 14.68
Last column: nearest neighbours and their distance in Å.
Positions (direct):
Li 0.0000 0.0000 0.0000  6 Li 3.05
Ce 0.4168 0.4168 0.4168  1 Hf 2.95, 6 Ce 3.05
Ce 0.5832 0.5832 0.5832  1 Hf 2.95, 6 Ce 3.05
Hf 0.5000 0.5000 0.5000  2 Ce 2.95, 6 Hf 3.05

---

6.
LiCeHf | PBE-GGA | relaxed

Values from the calculation:
symmetry = I4mm (107)
ΔH_f (0 K) = 58 kJ/mol of formula units

a b c (Å): 7.6613 7.6613 7.6613
angles (deg): 156.93 156.93 32.86
Last column: nearest neighbours and their distance in Å.
Positions (direct):
Li 0.0000 0.0000 0.0000  4 Li 3.06, 4 Hf 3.17, 4 Ce 3.42
Ce 0.3198 0.3198 0.0000  4 Ce 3.06, 4 Hf 3.23, 4 Li 3.42
Hf 0.6571 0.6571 0.0000  4 Hf 3.06, 4 Li 3.17, 4 Ce 3.23

---

7.
LiCeHf | PBE-GGA | relaxed

Values from the calculation:
symmetry = P4/nmm (129)
ΔH_f (0 K) = 30 kJ/mol of formula units

a b c (Å): 3.1268 3.1268 14.6569
angles (deg): 90.00 90.00 90.00
Last column: nearest neighbours and their distance in Å.
Positions (direct):
Li 0.2500 0.2500 0.0695  8 Li 3.01-3.13
Li 0.7500 0.7500 0.9305  8 Li 3.01-3.13
Ce 0.2500 0.2500 0.7470  4 Ce 3.13, 4 Hf 3.35, 4 Li 3.48
Ce 0.7500 0.7500 0.2530  4 Ce 3.13, 4 Hf 3.35, 4 Li 3.48
Hf 0.2500 0.2500 0.4244  8 Hf 3.13, 4 Ce 3.35
Hf 0.7500 0.7500 0.5756  8 Hf 3.13, 4 Ce 3.35

---

8.
LiCeHfMo | PBE-GGA | relaxed

Values from the calculation:
symmetry = F-43m (216)
ΔH_f (0 K) = 51 kJ/mol of formula units

a b c (Å): 4.8276 4.8276 4.8276
angles (deg): 60.00 60.00 60.00
Last column: nearest neighbours and their distance in Å.
Positions (direct):
Li 0.0000 0.0000 0.0000  4 Hf 2.96, 4 Ce 2.96
Ce 0.7500 0.7500 0.7500  4 Mo 2.96, 4 Li 2.96
Hf 0.2500 0.2500 0.2500  4 Mo 2.96, 4 Li 2.96
Mo 0.5000 0.5000 0.5000  4 Ce 2.96, 4 Hf 2.96

---

Question: Which formula does entry 2 have?
Answer: LaCe2HfN4

---

Question: Number 5 is which compound?
Answer: LiCe2Hf